# GGA-PBE TbNi2AsH, optimized geometry
# Crystal system = orthorhombic
# Total energy = -5.529 eV/atom
data_TbNi2AsH
_chemical_formula_sum 'Tb4 Ni8 As4 H4'
_cell_length_a 3.855
_cell_length_b 10.229
_cell_length_c 6.749
_cell_angle_alpha 90.00
_cell_angle_beta 90.00
_cell_angle_gamma 90.00
_space_group_name_H-M_alt 'C m c m'
_space_group_IT_number 63
_space_group_name_Hall '-C 2c 2'
loop_
_atom_site_label
_atom_site_fract_x
_atom_site_fract_y
_atom_site_fract_z
_atom_site_occupancy
Tb1 0.000 0.063 0.250 1
Ni1 0.000 0.342 0.058 1
As1 0.000 0.221 0.750 1
H1 0.000 0.500 0.000 1